Entry from Alexandria: a relaxed structure of MgTe3As (GGA-PBE).

ΔE_f (raw) (eV/atom): 0.5148
Energy (eV/atom): -2.619
Calculated volume (A^3/atom): 30.79

a = 5.360 Å, b = 5.360 Å, c = 5.360 Å
α = 90.00°, β = 90.00°, γ = 90.00°
Fractional positions:
As1 0.500 0.500 0.500
Te1 0.500 0.000 0.000
Te2 0.000 0.000 0.500
Te3 0.000 0.500 0.000
Mg1 0.000 0.000 0.000